The following is a PBE+U calculation of KNiRu2O8 after structural relaxation, from Alexandria via LeMat-Bulk.

The structure in POSCAR format:
```
KNiRu2O8
1.0
4.1585 -3.0846 0.0000
4.1585 3.0846 0.0000
-2.5583 0.0000 6.6649
K Ni Ru O
1 1 2 8
Cartesian
0.0000 0.0000 0.0000
-1.2792 0.0000 3.3325
1.7738 0.0000 5.0234
3.9849 0.0000 1.6415
3.1226 1.5288 1.9041
0.6559 0.0000 3.5924
2.6361 1.5288 4.7608
0.4593 0.0000 6.2733
5.2994 0.0000 0.3916
3.1226 -1.5288 1.9041
5.1028 0.0000 3.0726
2.6361 -1.5288 4.7608
```

Computed properties:
E_tot = -6.07 eV/atom